Entry 1:
# PBE KY2Au, relaxed
# * energy relative to the elements: -0.1892 eV per atom
# * crystal system: tetragonal
# * SG: P4/mmm, No. 123
data_KY2Au
_cell_length_a 3.619
_cell_length_b 3.619
_cell_length_c 10.597
_cell_angle_alpha 90.00
_cell_angle_beta 90.00
_cell_angle_gamma 90.03
_space_group_name_H-M_alt 'P 1'
_space_group_IT_number 1
loop_
_space_group_symop_operation_xyz
'x,y,z'
loop_
_atom_site_label
_atom_site_type_symbol
_atom_site_fract_x
_atom_site_fract_y
_atom_site_fract_z
_atom_site_occupancy
Au1 Au 0.500 0.500 0.250 1
K1 K 0.500 0.500 0.750 1
Y1 Y 0.000 0.000 0.089 1
Y2 Y 0.000 0.000 0.411 1



Entry 2:
# PBE TaCdCu2, relaxed
# * energy relative to the elements: 0.2426 eV per atom
# * crystal system: monoclinic
# * SG: Cm, No. 8
data_TaCdCu2
_cell_length_a 5.160
_cell_length_b 5.160
_cell_length_c 4.863
_cell_angle_alpha 73.67
_cell_angle_beta 73.67
_cell_angle_gamma 30.47
_space_group_name_H-M_alt 'P 1'
_space_group_IT_number 1
loop_
_space_group_symop_operation_xyz
'x,y,z'
loop_
_atom_site_label
_atom_site_type_symbol
_atom_site_fract_x
_atom_site_fract_y
_atom_site_fract_z
_atom_site_occupancy
Cd1 Cd 0.265 0.265 0.195 1
Cu1 Cu 0.024 0.024 0.033 1
Cu2 Cu 0.730 0.730 0.712 1
Ta1 Ta 0.481 0.481 0.560 1



Entry 3:
# PBE OsRu3, relaxed
# * energy relative to the elements: 0.1028 eV per atom
# * crystal system: cubic
# * SG: Pm-3m, No. 221
data_OsRu3
_cell_length_a 3.829
_cell_length_b 3.829
_cell_length_c 3.829
_cell_angle_alpha 90.00
_cell_angle_beta 90.00
_cell_angle_gamma 90.00
_space_group_name_H-M_alt 'P 1'
_space_group_IT_number 1
loop_
_space_group_symop_operation_xyz
'x,y,z'
loop_
_atom_site_label
_atom_site_type_symbol
_atom_site_fract_x
_atom_site_fract_y
_atom_site_fract_z
_atom_site_occupancy
Os1 Os 0.000 0.000 0.000 1
Ru1 Ru 0.000 0.500 0.500 1
Ru2 Ru 0.500 0.000 0.500 1
Ru3 Ru 0.500 0.500 0.000 1



no.,calculated volume (Å³ per cell),total moment (μB/cell)
1,138.8,0.00
2,62.8,0.00
3,56.1,0.00